DFT (PBE-GGA) results for a geometry-optimized Li3In3Ga structure.

Structure (extended XYZ):
```
28
Lattice="10.786 0.000 0.000 0.000 4.460 0.000 0.000 0.000 12.070" Properties=species:S:1:pos:R:3 pbc="T T T"
Li 0.272 1.115 1.121
Li 1.120 3.345 6.091
Li 2.001 3.345 8.622
Li 3.392 1.115 2.587
Li 4.274 1.115 0.055
Li 5.121 3.345 7.156
Li 5.665 1.115 4.914
Li 6.513 3.345 12.015
Li 7.394 3.345 9.483
Li 8.785 1.115 3.448
Li 9.667 1.115 5.980
Li 10.514 3.345 10.949
In 1.071 1.115 3.999
In 1.825 1.115 10.556
In 2.134 3.345 0.747
In 3.260 1.115 6.782
In 3.568 3.345 4.521
In 4.323 3.345 10.035
In 6.464 1.115 2.036
In 7.218 1.115 7.549
In 7.527 3.345 5.288
In 8.653 1.115 11.323
In 8.962 3.345 1.514
In 9.716 3.345 8.071
Ga 0.672 1.115 7.949
Ga 4.721 3.345 1.913
Ga 6.065 1.115 10.157
Ga 10.114 3.345 4.122
```

Values from the calculation:
**Energy of formation from the pure elements**: -0.18 eV per atom



DFT (PBE-GGA) results for a geometry-optimized TaBeSe2N structure.

Structure (extended XYZ):
```
5
Lattice="5.148 0.000 0.000 0.000 5.148 0.000 0.000 0.000 3.862" Properties=species:S:1:pos:R:3 pbc="T T T"
Ta 0.000 0.000 0.000
Be 2.574 2.574 1.931
Se 0.000 2.574 0.000
Se 2.574 0.000 0.000
N 0.000 0.000 1.931
```

Values from the calculation:
**Relative energy among the computed polymorphs**: 0 meV per atom
**E_form (uncorrected)**: 371 meV/atom



DFT (PBE-GGA) results for a geometry-optimized CdSn3Au3 structure.

Structure (extended XYZ):
```
14
Lattice="4.138 2.389 5.929 -4.138 2.389 5.929 0.000 -4.779 5.929" Properties=species:S:1:pos:R:3 pbc="T T T"
Cd 0.000 0.000 2.892
Cd 0.000 0.000 14.894
Sn -1.180 -2.143 7.165
Sn -2.446 -0.050 10.622
Sn -1.266 2.093 7.165
Sn 1.266 -2.093 10.622
Sn 2.446 0.050 7.165
Sn 1.180 2.143 10.622
Au -3.019 -0.054 7.569
Au -1.463 -2.642 10.218
Au 1.557 -2.588 7.569
Au -1.557 2.588 10.218
Au 1.463 2.642 7.569
Au 3.019 0.054 10.218
```

Values from the calculation:
**Energy of formation from the pure elements**: -0.12 eV per atom
**Relative energy among the computed polymorphs**: 0 meV per atom



DFT (PBE-GGA) results for a geometry-optimized LiTm3Zn2 structure.

Structure (extended XYZ):
```
6
Lattice="3.553 0.000 0.000 0.000 3.553 0.000 0.000 0.000 10.775" Properties=species:S:1:pos:R:3 pbc="T T T"
Li 0.000 0.000 0.000
Tm 1.776 1.776 1.967
Tm 1.776 1.776 5.387
Tm 1.776 1.776 8.808
Zn 0.000 0.000 3.622
Zn 0.000 0.000 7.153
```

Values from the calculation:
**Energy of formation from the pure elements**: -0.20 eV per atom



DFT (PBE-GGA) results for a geometry-optimized La2ScReIr structure.

Structure (extended XYZ):
```
5
Lattice="5.512 0.000 0.000 0.000 5.512 0.000 0.000 0.000 4.807" Properties=species:S:1:pos:R:3 pbc="T T T"
La 0.000 2.756 0.000
La 2.756 0.000 0.000
Sc 0.000 0.000 2.403
Re 2.756 2.756 0.000
Ir 2.756 2.756 2.403
```

Values from the calculation:
**Energy of formation from the pure elements**: 0.47 eV per atom



DFT (PBE-GGA) results for a geometry-optimized Cs5K3Au2 structure.

Structure (extended XYZ):
```
20
Lattice="-5.030 9.986 7.271 5.030 -9.986 7.271 5.030 9.986 -7.271" Properties=species:S:1:pos:R:3 pbc="T T T"
Cs 5.030 -4.931 3.636
Cs 7.379 2.472 0.000
Cs 0.000 0.000 3.636
Cs 2.349 7.514 0.000
Cs 5.030 4.931 3.636
Cs 0.000 5.055 3.636
Cs 2.681 2.472 7.271
Cs 0.000 0.000 10.907
Cs -2.349 7.514 7.271
Cs 0.000 14.917 3.636
K 2.603 2.711 0.000
K 5.030 0.000 3.636
K 2.603 -2.711 7.271
K 2.427 12.697 0.000
K 0.000 9.986 3.636
K 2.427 7.275 7.271
Au 4.997 -5.151 7.271
Au 4.997 5.151 0.000
Au 0.033 4.835 7.271
Au 0.033 15.138 0.000
```

Values from the calculation:
**Energy of formation from the pure elements**: -0.13 eV per atom



DFT (PBE-GGA) results for a geometry-optimized Ta2TlRh structure.

Structure (extended XYZ):
```
4
Lattice="1.567 0.905 9.042 -1.567 0.905 9.042 0.000 -1.810 9.042" Properties=species:S:1:pos:R:3 pbc="T T T"
Ta 0.000 0.000 0.000
Ta 0.000 0.000 6.823
Tl 0.000 0.000 13.305
Rh 0.000 0.000 19.966
```

Values from the calculation:
**Energy of formation from the pure elements**: 0.14 eV per atom
**Relative energy among the computed polymorphs**: 71 meV per atom



DFT (PBE-GGA) results for a geometry-optimized Ca3Ga4Cu2 structure.

Structure (extended XYZ):
```
9
Lattice="5.358 -2.183 0.000 5.358 2.183 0.000 -2.368 0.000 8.235" Properties=species:S:1:pos:R:3 pbc="T T T"
Ca 0.000 0.000 0.000
Ca 3.277 0.000 2.551
Ca 5.072 0.000 5.684
Ga 0.142 0.000 3.475
Ga 0.755 0.000 7.650
Ga 7.593 0.000 0.585
Ga 8.206 0.000 4.760
Cu 1.946 0.000 5.498
Cu 6.402 0.000 2.737
```

Values from the calculation:
**Energy of formation from the pure elements**: -0.40 eV per atom
**Relative energy among the computed polymorphs**: 10 meV per atom



DFT (PBE-GGA) results for a geometry-optimized RbCr2Os structure.

Structure (extended XYZ):
```
4
Lattice="0.000 3.170 3.170 3.170 0.000 3.170 3.170 3.170 0.000" Properties=species:S:1:pos:R:3 pbc="T T T"
Rb 0.000 0.000 0.000
Cr 1.585 1.585 1.585
Cr 4.756 4.756 4.756
Os 3.170 3.170 3.170
```

Values from the calculation:
**Energy of formation from the pure elements**: 1.86 eV per atom
**Relative energy among the computed polymorphs**: 469 meV per atom



DFT (PBE-GGA) results for a geometry-optimized Zr2TaCl structure.

Structure (extended XYZ):
```
4
Lattice="3.056 0.000 0.000 0.000 4.763 0.000 0.000 0.000 5.919" Properties=species:S:1:pos:R:3 pbc="T T T"
Zr 0.000 0.000 0.000
Zr 1.528 2.382 2.138
Ta 1.528 2.382 5.196
Cl 0.000 0.000 2.547
```

Values from the calculation:
**Relative energy among the computed polymorphs**: 470 meV per atom
**E_form (uncorrected)**: 55 meV/atom



DFT (PBE-GGA) results for a geometry-optimized Ce2GaCo12B3 structure.

Structure (extended XYZ):
```
18
Lattice="3.525 2.035 5.131 -3.525 2.035 5.131 0.000 -4.070 5.131" Properties=species:S:1:pos:R:3 pbc="T T T"
Ce 0.000 0.000 1.559
Ce 0.000 0.000 13.834
Ga 0.000 0.000 7.697
Co -2.072 -1.196 7.059
Co 0.000 -1.612 5.610
Co -1.396 0.806 5.610
Co 0.000 -2.392 8.334
Co -2.072 1.196 8.334
Co -1.396 -0.806 9.784
Co 1.396 0.806 5.610
Co 2.072 -1.196 7.059
Co 0.000 2.392 7.059
Co 1.396 -0.806 9.784
Co 0.000 1.612 9.784
Co 2.072 1.196 8.334
B -1.762 -1.017 5.131
B -1.762 1.017 10.262
B 0.000 2.035 5.131
```

Values from the calculation:
**Energy of formation from the pure elements**: 0.07 eV per atom



DFT (PBE-GGA) results for a geometry-optimized SrTc2Ag structure.

Structure (extended XYZ):
```
4
Lattice="0.000 3.411 3.411 3.411 0.000 3.411 3.411 3.411 0.000" Properties=species:S:1:pos:R:3 pbc="T T T"
Sr 0.000 0.000 0.000
Tc 1.705 1.705 1.705
Tc 5.116 5.116 5.116
Ag 3.411 3.411 3.411
```

Values from the calculation:
**Energy of formation from the pure elements**: 1.26 eV per atom
**Relative energy among the computed polymorphs**: 913 meV per atom



What did we get for VASP energy? Answer: -2.604 -5.804 -3.367 -3.179 -7.030 -1.541 -8.215 -3.319 -6.003 -7.643 -6.605 -5.060 eV per atom, in the order shown.